The following is a GGA+U calculation of a geometry-optimized Na2PmNiO4 structure, from Alexandria via LeMat-Bulk.

Cell: 6.0446 5.2335 5.2335 Å, 70.50 54.73 54.73°
Last column: magnetic moment on the atom in μB.
Sites, in units of the cell vectors:
Na1 0.5000 0.7498 0.2502  0.00
Na2 0.5000 0.2502 0.7498  0.00
O1 0.6584 0.4748 0.8668  0.19
O2 0.0000 0.5252 0.1332  0.19
O3 0.0000 0.8668 0.4748  0.19
O4 0.3416 0.1332 0.5252  0.19
Pm1 0.0000 0.0000 0.0000  0.00
Ni1 0.0000 0.5000 0.5000  2.02

Computed properties:
- Space group: No. 121
- M_tot: 2.97 μB per cell
- Volume: 110 Å³ per cell
- E: -5.3744 eV per atom